1.
GaHgSe2Br: relaxed, PBE-GGA.

Cell lengths 5.0937, 5.0937, 5.1339 Å; angles 90.00, 90.00, 90.00 degrees
With the nearest neighbours (Å) after each atom.
Atoms (fractional coordinates):
Ga 0.0000 0.0000 0.0000  4 Se 2.55, 2 Br 2.57
Hg 0.5000 0.5000 0.5000  4 Br 3.60, 8 Se 3.62
Se 0.0000 0.5000 0.0000  2 Ga 2.55
Se 0.5000 0.0000 0.0000  2 Ga 2.55
Br 0.0000 0.0000 0.5000  2 Ga 2.57

Results
Its density of states at the Fermi level is 5.70 states/eV/cell. Its space group is P4/mmm (123). The density comes out at 6.33 g/cm3.

2.
GaHgSe2Br: relaxed, PBE-GGA.

Cell lengths 5.2314, 5.2314, 5.8572 Å; angles 90.00, 90.00, 90.00 degrees
With the nearest neighbours (Å) after each atom.
Atoms (fractional coordinates):
Ga 0.0000 0.0000 0.0000  4 Br 3.70, 8 Se 3.93
Hg 0.5000 0.5000 0.5000  4 Se 2.62, 2 Br 2.93
Se 0.0000 0.5000 0.5000  2 Hg 2.62
Se 0.5000 0.0000 0.5000  2 Hg 2.62
Br 0.5000 0.5000 0.0000  2 Hg 2.93

Results
Its density of states at the Fermi level is 6.96 states/eV/cell. Its space group is P4/mmm (123). The density comes out at 5.26 g/cm3.

Most stable pick: 1. Distance to second place: 168 meV per atom.

1.
GaHgSeBr2: relaxed, PBE-GGA.

Cell lengths 5.6107, 5.6107, 5.2477 Å; angles 90.00, 90.00, 90.00 degrees
With the nearest neighbours (Å) after each atom.
Atoms (fractional coordinates):
Ga 0.0000 0.0000 0.0000  8 Br 3.84, 4 Se 3.97
Hg 0.5000 0.5000 0.5000  2 Se 2.62, 4 Br 2.81
Se 0.5000 0.5000 0.0000  2 Hg 2.62
Br 0.0000 0.5000 0.5000  2 Hg 2.81
Br 0.5000 0.0000 0.5000  2 Hg 2.81

Results
Its density of states at the Fermi level is 4.50 states/eV/cell. Its space group is P4/mmm (123). The density comes out at 5.12 g/cm3.

2.
GaHgSeBr2: relaxed, PBE-GGA.

Cell lengths 5.1559, 5.1559, 5.2172 Å; angles 90.00, 90.00, 90.00 degrees
With the nearest neighbours (Å) after each atom.
Atoms (fractional coordinates):
Ga 0.0000 0.0000 0.0000  4 Br 2.58, 2 Se 2.61
Hg 0.5000 0.5000 0.5000  4 Se 3.65, 8 Br 3.67
Se 0.0000 0.0000 0.5000  2 Ga 2.61
Br 0.0000 0.5000 0.0000  2 Ga 2.58
Br 0.5000 0.0000 0.0000  2 Ga 2.58

Results
Its density of states at the Fermi level is 3.02 states/eV/cell. Its space group is P4/mmm (123). The density comes out at 6.10 g/cm3.

Most stable pick: 2. Distance to second place: 146 meV per atom.

1.
Ga2HgWBr: relaxed, PBE-GGA.

Cell lengths 5.1066, 5.1066, 5.4606 Å; angles 90.00, 90.00, 90.00 degrees
With the nearest neighbours (Å) after each atom.
Atoms (fractional coordinates):
Ga 0.0000 0.5000 0.0000  2 W 2.55
Ga 0.5000 0.0000 0.0000  2 W 2.55
Hg 0.0000 0.0000 0.5000  2 W 2.73
W 0.0000 0.0000 0.0000  4 Ga 2.55, 2 Hg 2.73
Br 0.5000 0.5000 0.5000  4 Hg 3.61, 8 Ga 3.74

Results
Its density of states at the Fermi level is 4.14 states/eV/cell. Its space group is P4/mmm (123). The density comes out at 7.04 g/cm3.

2.
Ga2HgWBr: relaxed, PBE-GGA.

Cell lengths 5.5860, 5.5860, 4.7355 Å; angles 90.00, 90.00, 90.00 degrees
With the nearest neighbours (Å) after each atom.
Atoms (fractional coordinates):
Ga 0.0000 0.5000 0.0000  2 Br 2.79
Ga 0.5000 0.0000 0.0000  2 Br 2.79
Hg 0.0000 0.0000 0.5000  8 Ga 3.66, 4 W 3.95
W 0.5000 0.5000 0.5000  2 Br 2.37
Br 0.5000 0.5000 0.0000  2 W 2.37

Results
Its density of states at the Fermi level is 2.67 states/eV/cell. Its space group is P4/mmm (123). The density comes out at 6.79 g/cm3.

Most stable pick: 1. Distance to second place: 658 meV per atom.